Record 1
GGA-PBE Li3Ga2Ag3, optimized geometry; density of states at the Fermi level = 0.241 states/eV/atom; offset from the most stable computed form = 0 meV/atom; total DFT energy (no corrections) = -2.7299 eV/atom
1.0
7.066 0.000 0.000
-3.533 6.119 0.000
0.000 0.000 2.984
Li Ga Ag
3 2 3
Direct
0.000 0.390 0.000
0.390 0.000 0.000
0.610 0.610 0.000
0.333 0.667 0.500
0.667 0.333 0.500
0.000 0.760 0.500
0.240 0.240 0.500
0.760 0.000 0.500


Record 2
GGA-PBE LiGa4Ag7, optimized geometry; density of states at the Fermi level = 0.282 states/eV/atom; total DFT energy (no corrections) = -2.7969 eV/atom
1.0
6.034 -2.362 0.000
6.034 2.362 0.000
-5.558 0.000 7.878
Li Ga Ag
1 4 7
Direct
0.000 0.000 0.000
0.306 0.306 0.666
0.424 0.424 0.207
0.576 0.576 0.793
0.694 0.694 0.334
0.067 0.067 0.358
0.219 0.219 0.871
0.345 0.345 0.409
0.500 0.500 0.000
0.655 0.655 0.591
0.781 0.781 0.129
0.933 0.933 0.642


Record 3
GGA-PBE Li4GaAg, optimized geometry; density of states at the Fermi level = 0.502 states/eV/atom; offset from the most stable computed form = 185 meV/atom; total DFT energy (no corrections) = -2.2990 eV/atom
1.0
0.000 3.582 3.582
3.582 0.000 3.582
3.582 3.582 0.000
Li Ga Ag
4 1 1
Direct
0.125 0.125 0.125
0.125 0.125 0.625
0.125 0.625 0.125
0.625 0.125 0.125
0.500 0.500 0.500
0.750 0.750 0.750


Record 4
GGA-PBE LiGa8Ag5, optimized geometry; density of states at the Fermi level = 0.258 states/eV/atom; total DFT energy (no corrections) = -2.8730 eV/atom
1.0
-3.971 3.971 4.271
3.971 -3.971 4.271
3.971 3.971 -4.271
Li Ga Ag
1 8 5
Direct
0.000 0.000 0.000
0.148 0.415 0.466
0.202 0.421 0.901
0.318 0.852 0.267
0.520 0.302 0.099
0.579 0.480 0.782
0.585 0.051 0.733
0.698 0.798 0.218
0.949 0.682 0.534
0.147 0.058 0.511
0.363 0.853 0.911
0.547 0.637 0.489
0.750 0.250 0.500
0.942 0.453 0.089


Record 5
GGA-PBE Li3Ga5Ag, optimized geometry; density of states at the Fermi level = 0.402 states/eV/atom; total DFT energy (no corrections) = -2.7022 eV/atom
1.0
-3.904 3.904 5.316
3.904 -3.904 5.316
3.904 3.904 -5.316
Li Ga Ag
6 10 2
Direct
0.106 0.606 0.711
0.250 0.250 0.000
0.394 0.106 0.500
0.606 0.894 0.500
0.750 0.750 0.000
0.894 0.394 0.289
0.000 0.000 0.000
0.074 0.166 0.500
0.166 0.666 0.092
0.334 0.426 0.500
0.426 0.926 0.092
0.500 0.500 0.000
0.574 0.074 0.908
0.666 0.574 0.500
0.834 0.334 0.908
0.926 0.834 0.500
0.250 0.750 0.500
0.750 0.250 0.500


Record 6
GGA-PBE Li3Ga2Ag2, optimized geometry; density of states at the Fermi level = 0.230 states/eV/atom; offset from the most stable computed form = 18 meV/atom; total DFT energy (no corrections) = -2.7668 eV/atom
1.0
2.239 1.293 6.429
-2.239 1.293 6.429
0.000 -2.586 6.429
Li Ga Ag
3 2 2
Direct
0.000 0.000 0.000
0.143 0.143 0.143
0.857 0.857 0.857
0.281 0.281 0.281
0.719 0.719 0.719
0.424 0.424 0.424
0.576 0.576 0.576


Record 7
GGA-PBE Li2Ga3Ag5, optimized geometry; density of states at the Fermi level = 0.270 states/eV/atom; offset from the most stable computed form = 102 meV/atom; total DFT energy (no corrections) = -2.7394 eV/atom
1.0
-5.430 6.452 2.767
5.430 -6.452 2.767
5.430 6.452 -2.767
Li Ga Ag
4 6 10
Direct
0.224 0.144 0.368
0.276 0.644 0.919
0.724 0.356 0.081
0.776 0.856 0.632
0.146 0.876 0.021
0.250 0.750 0.500
0.354 0.376 0.730
0.646 0.624 0.270
0.750 0.250 0.500
0.854 0.124 0.979
0.161 0.407 0.568
0.250 0.250 0.000
0.250 0.508 0.258
0.250 0.992 0.742
0.339 0.907 0.246
0.661 0.093 0.754
0.750 0.008 0.258
0.750 0.492 0.742
0.750 0.750 0.000
0.839 0.593 0.432


Record 8
GGA-PBE LiGa6Ag6, optimized geometry; density of states at the Fermi level = 0.565 states/eV/atom; total DFT energy (no corrections) = -2.8767 eV/atom
1.0
5.596 0.000 0.000
-2.798 4.846 0.000
0.000 0.000 8.965
Li Ga Ag
1 6 6
Direct
0.000 0.000 0.000
0.000 0.000 0.358
0.000 0.000 0.642
0.333 0.667 0.000
0.333 0.667 0.500
0.667 0.333 0.000
0.667 0.333 0.500
0.000 0.500 0.246
0.000 0.500 0.754
0.500 0.000 0.246
0.500 0.000 0.754
0.500 0.500 0.246
0.500 0.500 0.754


Record 9
GGA-PBE LiGa2Ag, optimized geometry; density of states at the Fermi level = 0.230 states/eV/atom; offset from the most stable computed form = 7 meV/atom; total DFT energy (no corrections) = -2.8814 eV/atom
1.0
3.996 0.000 0.000
-0.113 4.093 0.000
-1.994 -1.980 4.057
Li Ga Ag
1 2 1
Direct
0.000 0.000 0.000
0.250 0.751 0.501
0.750 0.249 0.499
0.500 0.500 0.000


Record 10
GGA-PBE LiGa12Ag6, optimized geometry; density of states at the Fermi level = 0.431 states/eV/atom; offset from the most stable computed form = 34 meV/atom; total DFT energy (no corrections) = -2.8779 eV/atom
1.0
5.549 3.204 3.403
-5.549 3.204 3.403
0.000 -6.408 3.403
Li Ga Ag
1 12 6
Direct
0.000 0.000 0.000
0.012 0.812 0.287
0.188 0.713 0.988
0.191 0.499 0.635
0.287 0.012 0.812
0.365 0.809 0.501
0.499 0.635 0.191
0.501 0.365 0.809
0.635 0.191 0.499
0.713 0.988 0.188
0.809 0.501 0.365
0.812 0.287 0.012
0.988 0.188 0.713
0.152 0.453 0.251
0.251 0.152 0.453
0.453 0.251 0.152
0.547 0.749 0.848
0.749 0.848 0.547
0.848 0.547 0.749


Record 11
GGA-PBE Li2GaAg4, optimized geometry; density of states at the Fermi level = 0.218 states/eV/atom; offset from the most stable computed form = 0 meV/atom; total DFT energy (no corrections) = -2.7193 eV/atom
1.0
4.956 0.000 0.000
0.000 8.742 0.000
-0.414 0.000 5.660
Li Ga Ag
4 2 8
Direct
0.240 0.008 0.435
0.240 0.492 0.935
0.760 0.508 0.065
0.760 0.992 0.565
0.500 0.000 0.000
0.500 0.500 0.500
0.009 0.172 0.997
0.009 0.328 0.497
0.489 0.749 0.753
0.489 0.751 0.253
0.511 0.249 0.747
0.511 0.251 0.247
0.991 0.672 0.503
0.991 0.828 0.003


Record 12
GGA-PBE Li2GaAg2, optimized geometry; density of states at the Fermi level = 0.299 states/eV/atom; offset from the most stable computed form = 0 meV/atom; total DFT energy (no corrections) = -2.7277 eV/atom
1.0
2.206 -8.226 0.000
2.206 8.226 0.000
0.000 0.000 4.446
Li Ga Ag
4 2 4
Direct
0.053 0.947 0.750
0.155 0.845 0.250
0.845 0.155 0.750
0.947 0.053 0.250
0.351 0.649 0.250
0.649 0.351 0.750
0.248 0.752 0.750
0.446 0.554 0.750
0.554 0.446 0.250
0.752 0.248 0.250